Here is a relaxed BaMg2Fe crystal from Alexandria. Energies are from GGA-PBE.

The density of states at the Fermi level comes out at 1.185 states/eV per atom. Its electronic total energy is -42.36 eV per cell. Its formation energy is 746 meV/atom.

It has space group Fm-3m (No. 225), with a = 7.3008 Å, b = 7.3008 Å, c = 7.3008 Å, α = 90.00°, β = 90.00° and γ = 90.00°. The asymmetric unit holds Ba at (0.0000, 0.0000, 0.0000), Mg at (0.2500, 0.2500, 0.2500) and Fe at (0.0000, 0.0000, 0.5000).



Here is a relaxed LaAlN2F crystal from Alexandria. Energies are from GGA-PBE.

The energy relative to the lowest polymorph listed for this composition comes out at 0.0 meV/atom. The value obtained for the formation energy from raw total energies is -1.6452 eV/atom. The density of states at the Fermi level comes out at 0.433 states/eV per atom. Its electronic total energy is -35.42 eV per cell.

It has space group P4/mmm (No. 123), with a = 3.8899 Å, b = 3.8899 Å, c = 3.9393 Å, α = 90.00°, β = 90.00° and γ = 90.00°. The asymmetric unit holds La at (0.0000, 0.0000, 0.0000), Al at (0.5000, 0.5000, 0.5000), N at (0.0000, 0.5000, 0.5000) and F at (0.5000, 0.5000, 0.0000).



Repeat the second record exactly.
Here is a relaxed LaAlN2F crystal from Alexandria. Energies are from GGA-PBE.

The energy relative to the lowest polymorph listed for this composition comes out at 0.0 meV/atom. The value obtained for the formation energy from raw total energies is -1.6452 eV/atom. The density of states at the Fermi level comes out at 0.433 states/eV per atom. Its electronic total energy is -35.42 eV per cell.

It has space group P4/mmm (No. 123), with a = 3.8899 Å, b = 3.8899 Å, c = 3.9393 Å, α = 90.00°, β = 90.00° and γ = 90.00°. The asymmetric unit holds La at (0.0000, 0.0000, 0.0000), Al at (0.5000, 0.5000, 0.5000), N at (0.0000, 0.5000, 0.5000) and F at (0.5000, 0.5000, 0.0000).



Q: Which of these has the lowest electronic total energy?
A: BaMg2Fe



Q: What is the electronic total energy in the second record?
A: -35.42 eV per cell



Q: Which formula does entry 1 have?
A: BaMg2Fe